*1*
MgBi2Au2 | PBE-GGA | optimized geometry

N(E_F)	1.758	states/eV/f.u.
calculated volume	243.0	Å³/cell

Unit cell a=7.3717 b=7.3717 c=4.4713 alpha=90.00 beta=90.00 gamma=90.00
Closest atoms and distances in Å follow each position.
Element x y z (fractional)
Bi 0.1733 0.6733 0.5000  6 Au 2.98-3.21
Bi 0.8267 0.3267 0.5000  6 Au 2.98-3.21
Bi 0.6733 0.8267 0.5000  6 Au 2.98-3.21
Bi 0.3267 0.1733 0.5000  6 Au 2.98-3.21
Au 0.3619 0.8619 0.0000  2 Mg 2.86, 1 Au 2.88, 2 Bi 2.98
Au 0.1381 0.3619 0.0000  2 Mg 2.86, 1 Au 2.88, 2 Bi 2.98
Au 0.8619 0.6381 0.0000  2 Mg 2.86, 1 Au 2.88, 2 Bi 2.98
Au 0.6381 0.1381 0.0000  2 Mg 2.86, 1 Au 2.88, 2 Bi 2.98
Mg 0.5000 0.5000 0.0000  4 Au 2.86
Mg 0.0000 0.0000 0.0000  4 Au 2.86


*2*
MgBi2Au2 | PBE-GGA | optimized geometry

N(E_F)	2.187	states/eV/f.u.
calculated volume	129.1	Å³/cell

Unit cell a=3.8536 b=3.8536 c=9.1088 alpha=77.79 beta=77.79 gamma=90.00
Closest atoms and distances in Å follow each position.
Element x y z (fractional)
Au 0.2500 0.7500 0.5000  4 Au 2.72
Au 0.7500 0.2500 0.5000  4 Au 2.72
Bi 0.6073 0.6073 0.7854  4 Au 3.14, 4 Mg 3.30
Bi 0.3927 0.3927 0.2146  4 Au 3.14, 4 Mg 3.30
Mg 0.0000 0.0000 0.0000  8 Bi 3.30


Energies, relative to the best one, in eV/atom: *1* 0.000; *2* 0.162.


*1*
TcBiMo2Au | PBE-GGA | optimized geometry

N(E_F)	5.843	states/eV/f.u.
calculated volume	114.4	Å³/cell

Unit cell a=4.7008 b=5.1751 c=4.7008 alpha=90.00 beta=90.00 gamma=90.00
Closest atoms and distances in Å follow each position.
Element x y z (fractional)
Au 0.0000 0.5000 0.0000  2 Tc 2.59
Bi 0.5000 0.5000 0.5000  4 Au 3.32, 8 Mo 3.50
Mo 0.0000 0.0000 0.5000  2 Tc 2.35
Mo 0.5000 0.0000 0.0000  2 Tc 2.35
Tc 0.0000 0.0000 0.0000  4 Mo 2.35, 2 Au 2.59


*2*
TcBiMo2Au | PBE-GGA | optimized geometry

N(E_F)	9.445	states/eV/f.u.
calculated volume	123.1	Å³/cell

Unit cell a=5.0028 b=4.9196 c=5.0028 alpha=90.00 beta=90.00 gamma=90.00
Closest atoms and distances in Å follow each position.
Element x y z (fractional)
Bi 0.0000 0.0000 0.0000  2 Tc 2.46, 4 Mo 2.50
Mo 0.0000 0.0000 0.5000  2 Bi 2.50
Mo 0.5000 0.0000 0.0000  2 Bi 2.50
Tc 0.0000 0.5000 0.0000  2 Bi 2.46
Au 0.5000 0.5000 0.5000  8 Mo 3.51, 4 Tc 3.54


Energies, relative to the best one, in eV/atom: *1* 0.000; *2* 1.205.


*1*
BiAu3N | PBE-GGA | optimized geometry

N(E_F)	0.166	states/eV/f.u.
calculated volume	160.9	Å³/cell

Unit cell a=5.4386 b=5.4386 c=5.4386 alpha=90.00 beta=90.00 gamma=90.00
Closest atoms and distances in Å follow each position.
Element x y z (fractional)
Au 0.0000 0.0000 0.5000  2 Bi 2.72
Au 0.0000 0.5000 0.0000  2 Bi 2.72
Au 0.5000 0.0000 0.0000  2 Bi 2.72
Bi 0.0000 0.0000 0.0000  6 Au 2.72
N 0.5000 0.5000 0.5000  12 Au 3.85


*2*
BiAu3N | PBE-GGA | optimized geometry

N(E_F)	4.225	states/eV/f.u.
calculated volume	95.7	Å³/cell

Unit cell a=4.5736 b=4.5736 c=4.5736 alpha=90.00 beta=90.00 gamma=90.00
Closest atoms and distances in Å follow each position.
Element x y z (fractional)
Au 0.0000 0.0000 0.5000  2 N 2.29
Au 0.0000 0.5000 0.0000  2 N 2.29
Au 0.5000 0.0000 0.0000  2 N 2.29
Bi 0.5000 0.5000 0.5000  12 Au 3.23
N 0.0000 0.0000 0.0000  6 Au 2.29


Energies, relative to the best one, in eV/atom: *1* 0.729; *2* 0.000.


*1*
Bi3AuN | PBE-GGA | optimized geometry

N(E_F)	6.858	states/eV/f.u.
calculated volume	167.0	Å³/cell

Unit cell a=5.5064 b=5.5064 c=5.5064 alpha=90.00 beta=90.00 gamma=90.00
Closest atoms and distances in Å follow each position.
Element x y z (fractional)
Au 0.0000 0.0000 0.0000  6 Bi 2.75
N 0.5000 0.5000 0.5000  12 Bi 3.89
Bi 0.0000 0.5000 0.0000  2 Au 2.75
Bi 0.5000 0.0000 0.0000  2 Au 2.75
Bi 0.0000 0.0000 0.5000  2 Au 2.75


*2*
Bi3AuN | PBE-GGA | optimized geometry

N(E_F)	2.972	states/eV/f.u.
calculated volume	119.1	Å³/cell

Unit cell a=4.9202 b=4.9202 c=4.9202 alpha=90.00 beta=90.00 gamma=90.00
Closest atoms and distances in Å follow each position.
Element x y z (fractional)
Bi 0.0000 0.0000 0.5000  2 N 2.46
Bi 0.5000 0.0000 0.0000  2 N 2.46
Bi 0.0000 0.5000 0.0000  2 N 2.46
Au 0.5000 0.5000 0.5000  12 Bi 3.48
N 0.0000 0.0000 0.0000  6 Bi 2.46


Energies, relative to the best one, in eV/atom: *1* 1.138; *2* 0.000.


*1*
BiPPdAuN | PBE-GGA | optimized geometry

N(E_F)	2.272	states/eV/f.u.
calculated volume	91.6	Å³/cell

Unit cell a=4.3262 b=3.2704 c=6.7215 alpha=90.00 beta=105.51 gamma=90.00
Closest atoms and distances in Å follow each position.
Element x y z (fractional)
N 0.1306 0.0000 0.7513  1 P 1.67
Pd 0.5380 0.5000 0.8768  2 P 2.30, 2 N 2.39
P 0.9237 0.0000 0.9277  1 N 1.67
Au 0.3732 0.0000 0.2373  1 P 2.44
Bi 0.9565 0.5000 0.4541  2 N 2.54


*2*
BiPPdAuN | PBE-GGA | optimized geometry

N(E_F)	1.448	states/eV/f.u.
calculated volume	174.2	Å³/cell

Unit cell a=6.3225 b=2.9230 c=10.6729 alpha=90.00 beta=117.97 gamma=90.00
Closest atoms and distances in Å follow each position.
Element x y z (fractional)
Bi 0.1537 0.0000 0.8460  1 N 2.50, 1 Pd 2.78
Bi 0.1537 0.5000 0.3460  1 N 2.50, 1 Pd 2.78
P 0.7309 0.5000 0.9558  2 N 1.79
P 0.7309 0.0000 0.4558  2 N 1.79
Pd 0.1487 0.0000 0.5840  1 P 2.34
Pd 0.1487 0.5000 0.0840  1 P 2.34
Au 0.6135 0.5000 0.7100  1 N 2.32, 1 P 2.37
Au 0.6135 0.0000 0.2100  1 N 2.32, 1 P 2.37
N 0.6002 0.5000 0.4887  2 P 1.79
N 0.6002 0.0000 0.9887  2 P 1.79


Energies, relative to the best one, in eV/atom: *1* 0.059; *2* 0.000.


*1*
BiPPdAuN | PBE-GGA | optimized geometry

N(E_F)	2.480	states/eV/f.u.
calculated volume	102.4	Å³/cell

Unit cell a=3.6433 b=4.5329 c=7.0558 alpha=72.29 beta=82.04 gamma=67.29
Closest atoms and distances in Å follow each position.
Element x y z (fractional)
Au 0.8180 0.3953 0.1800  1 N 2.22
P 0.8320 0.8961 0.9020  1 N 1.57
Pd 0.4516 0.7395 0.7289  1 N 2.19, 2 P 2.37-2.38
N 0.6473 0.2475 0.9426  1 P 1.57
Bi 0.1984 0.3965 0.4936  2 Au 2.77-2.93, 3 Pd 2.79-3.10


*2*
BiPPdAuN | PBE-GGA | optimized geometry

N(E_F)	1.615	states/eV/f.u.
calculated volume	90.8	Å³/cell

Unit cell a=2.9051 b=3.5741 c=8.8570 alpha=90.00 beta=99.28 gamma=90.00
Closest atoms and distances in Å follow each position.
Element x y z (fractional)
P 0.7881 0.5000 0.8093  2 N 1.75
N 0.2331 0.5000 0.6976  2 P 1.75
Pd 0.8731 0.0000 0.9788  2 P 2.32
Bi 0.0174 0.5000 0.2513  2 Au 2.88, 2 Bi 2.91, 2 Pd 2.98
Au 0.1410 0.0000 0.5100  2 N 2.43


Energies, relative to the best one, in eV/atom: *1* 0.086; *2* 0.000.